1.
The following is a GGA-PBE calculation of a relaxed structure of AsRu, from Alexandria.

Cell lengths 3.029, 5.792, 11.299 Å; angles 90.00, 90.00, 90.00 degrees
Element x y z (fractional)
As  0.500  0.298  0.218
Ru  0.000  0.008  0.126
As  0.000  0.658  0.000
As  0.500  0.342  0.500
Ru  0.000  0.008  0.874
Ru  0.500  0.992  0.374
Ru  0.000  0.677  0.500
Ru  0.500  0.992  0.626
As  0.000  0.702  0.718
As  0.500  0.298  0.782
Ru  0.500  0.323  0.000
As  0.000  0.702  0.282

Summary:
- Total moment: 0.0 μB/f.u.
- Crystal system: orthorhombic
- Formation enthalpy at 0 K: -6.6 kJ/mol of atoms



2.
The following is a GGA-PBE calculation of a relaxed structure of TiTcW, from Alexandria.

Cell lengths 4.400, 3.131, 13.472 Å; angles 90.00, 90.00, 90.00 degrees
Element x y z (fractional)
W  0.000  0.500  0.030
W  0.000  0.000  0.530
Tc  0.500  0.000  0.697
Tc  0.500  0.500  0.197
Ti  0.000  0.000  0.862
Ti  0.000  0.500  0.362
Ti  0.500  0.000  0.025
W  0.000  0.000  0.190
Tc  0.500  0.000  0.357
W  0.000  0.500  0.690
Tc  0.500  0.500  0.857
Ti  0.500  0.500  0.525

Summary:
- Total moment: 0.0 μB/f.u.
- Crystal system: orthorhombic
- Formation enthalpy at 0 K: -23.6 kJ/mol of atoms